Record 1
Crystalline Ag3OsPb at its relaxed geometry. Source: Alexandria, functional GGA-PBE.

Cell: 5.0946 5.0946 5.0946 Å, 90.00 90.00 90.00°
Fractional coordinates of all 5 atoms:
Ag 0.0000 0.0000 0.5000
Ag 0.0000 0.5000 0.0000
Ag 0.5000 0.0000 0.0000
Os 0.0000 0.0000 0.0000
Pb 0.5000 0.5000 0.5000

Properties
N(E_F) ... 0.9085 states/eV/atom
SG ... No. 221
Formation energy from the elements ... 1244.1 meV/atom
Energy relative to the lowest polymorph listed for this composition ... 0.000 eV per formula unit
Calculated total energy ... -17.27 eV/f.u.

=====

Record 2
Crystalline AgOs4Pb at its relaxed geometry. Source: Alexandria, functional GGA-PBE.

Cell: 5.3067 5.3067 5.3067 Å, 60.00 60.00 60.00°
Fractional coordinates of all 6 atoms:
Ag 0.0000 0.0000 0.0000
Os 0.1238 0.6254 0.6254
Os 0.6254 0.1238 0.6254
Os 0.6254 0.6254 0.1238
Os 0.6254 0.6254 0.6254
Pb 0.2500 0.2500 0.2500

Properties
N(E_F) ... 1.4618 states/eV/atom
SG ... No. 216
Formation energy from the elements ... 1007.9 meV/atom
Calculated total energy ... -45.43 eV/f.u.

=====

Record 3
Crystalline AgOs2Pb at its relaxed geometry. Source: Alexandria, functional GGA-PBE.

Cell: 4.0532 4.0532 4.2389 Å, 90.00 90.00 90.00°
Fractional coordinates of all 4 atoms:
Ag 0.0000 0.0000 0.0000
Os 0.0000 0.5000 0.5000
Os 0.5000 0.0000 0.5000
Pb 0.5000 0.5000 0.0000

Properties
N(E_F) ... 1.3311 states/eV/atom
SG ... No. 123
Formation energy from the elements ... 1118.0 meV/atom
Calculated total energy ... -24.55 eV/f.u.

=====

Record 4
Crystalline AgOs3Pb at its relaxed geometry. Source: Alexandria, functional GGA-PBE.

Cell: 4.8506 4.8506 4.8506 Å, 90.00 90.00 90.00°
Fractional coordinates of all 5 atoms:
Ag 0.0000 0.0000 0.0000
Os 0.0000 0.0000 0.5000
Os 0.0000 0.5000 0.0000
Os 0.5000 0.0000 0.0000
Pb 0.5000 0.5000 0.5000

Properties
N(E_F) ... 1.9266 states/eV/atom
SG ... No. 221
Formation energy from the elements ... 2801.7 meV/atom
Energy relative to the lowest polymorph listed for this composition ... 0.000 eV per formula unit
Calculated total energy ... -26.24 eV/f.u.

=====

Record 5
Crystalline AgOs2Pb at its relaxed geometry. Source: Alexandria, functional GGA-PBE.

Cell: 4.5786 4.5786 3.2681 Å, 90.00 90.00 90.00°
Fractional coordinates of all 4 atoms:
Ag 0.0000 0.0000 0.0000
Os 0.0000 0.5000 0.5000
Os 0.5000 0.0000 0.5000
Pb 0.5000 0.5000 0.0000

Properties
N(E_F) ... 0.9647 states/eV/atom
SG ... No. 123
Formation energy from the elements ... 1148.3 meV/atom
Calculated total energy ... -24.43 eV/f.u.

=====

Record 6
Crystalline RbAgOsPb2 at its relaxed geometry. Source: Alexandria, functional GGA-PBE.

Cell: 5.2590 5.2590 6.3239 Å, 90.00 90.00 90.00°
Fractional coordinates of all 5 atoms:
Rb 0.0000 0.0000 0.0000
Ag 0.5000 0.5000 0.0000
Os 0.0000 0.0000 0.5000
Pb 0.0000 0.5000 0.5000
Pb 0.5000 0.0000 0.5000

Properties
N(E_F) ... 0.4275 states/eV/atom
SG ... No. 123
Formation energy from the elements ... 706.5 meV/atom
Calculated total energy ... -18.93 eV/f.u.

=====

Record 7
Crystalline AgOsRhPb2 at its relaxed geometry. Source: Alexandria, functional GGA-PBE.

Cell: 5.2455 5.2455 5.0024 Å, 90.00 90.00 90.00°
Fractional coordinates of all 5 atoms:
Ag 0.0000 0.0000 0.0000
Os 0.0000 0.0000 0.5000
Rh 0.5000 0.5000 0.5000
Pb 0.0000 0.5000 0.0000
Pb 0.5000 0.0000 0.0000

Properties
N(E_F) ... 1.3562 states/eV/atom
SG ... No. 123
Formation energy from the elements ... 1836.4 meV/atom
Calculated total energy ... -19.67 eV/f.u.

=====

Record 8
Crystalline TcAgOs2Pb at its relaxed geometry. Source: Alexandria, functional GGA-PBE.

Cell: 4.9792 4.9792 4.9685 Å, 90.00 90.00 90.00°
Fractional coordinates of all 5 atoms:
Tc 0.0000 0.0000 0.0000
Ag 0.5000 0.5000 0.0000
Os 0.0000 0.5000 0.5000
Os 0.5000 0.0000 0.5000
Pb 0.5000 0.5000 0.5000

Properties
N(E_F) ... 0.6767 states/eV/atom
SG ... No. 123
Formation energy from the elements ... 2796.6 meV/atom
Calculated total energy ... -25.40 eV/f.u.

=====

Record 9
Crystalline TiAgOs2Pb at its relaxed geometry. Source: Alexandria, functional GGA-PBE.

Cell: 4.9560 4.9560 5.0042 Å, 90.00 90.00 90.00°
Fractional coordinates of all 5 atoms:
Ti 0.0000 0.0000 0.0000
Ag 0.5000 0.5000 0.0000
Os 0.0000 0.5000 0.5000
Os 0.5000 0.0000 0.5000
Pb 0.0000 0.0000 0.5000

Properties
N(E_F) ... 1.4869 states/eV/atom
SG ... No. 123
Formation energy from the elements ... 2416.4 meV/atom
Calculated total energy ... -24.83 eV/f.u.

=====

Record 10
Crystalline Ag2OsPd at its relaxed geometry. Source: Alexandria, functional GGA-PBE.

Cell: 5.8641 5.8641 5.8641 Å, 102.12 102.12 125.46°
Fractional coordinates of all 8 atoms:
Ag 0.1237 0.6250 0.9987
Ag 0.3750 0.3737 0.4987
Ag 0.6263 0.1250 0.0013
Ag 0.8750 0.8763 0.5013
Os 0.0000 0.0000 0.0000
Os 0.7500 0.2500 0.5000
Pd 0.2500 0.7500 0.5000
Pd 0.5000 0.5000 0.0000

Properties
N(E_F) ... 1.1150 states/eV/atom
SG ... No. 122
Formation energy from the elements ... 1089.1 meV/atom
Energy relative to the lowest polymorph listed for this composition ... 1.302 eV per formula unit
Calculated total energy ... -17.77 eV/f.u.

=====

Record 11
Crystalline Ag2OsPd at its relaxed geometry. Source: Alexandria, functional GGA-PBE.

Cell: 4.5324 4.5324 4.5324 Å, 60.00 60.00 60.00°
Fractional coordinates of all 4 atoms:
Ag 0.2500 0.2500 0.2500
Ag 0.7500 0.7500 0.7500
Os 0.0000 0.0000 0.0000
Pd 0.5000 0.5000 0.5000

Properties
N(E_F) ... 0.4292 states/eV/atom
SG ... No. 225
Formation energy from the elements ... 763.6 meV/atom
Energy relative to the lowest polymorph listed for this composition ... 0.000 eV per formula unit
Calculated total energy ... -19.07 eV/f.u.

=====

Record 12
Crystalline AgOs3Pd at its relaxed geometry. Source: Alexandria, functional GGA-PBE.

Cell: 4.7600 4.7600 4.7600 Å, 90.00 90.00 90.00°
Fractional coordinates of all 5 atoms:
Ag 0.0000 0.0000 0.0000
Os 0.0000 0.5000 0.5000
Os 0.5000 0.0000 0.5000
Os 0.5000 0.5000 0.0000
Pd 0.5000 0.5000 0.5000

Properties
N(E_F) ... 1.2137 states/eV/atom
SG ... No. 221
Formation energy from the elements ... 2731.3 meV/atom
Energy relative to the lowest polymorph listed for this composition ... 0.000 eV per formula unit
Calculated total energy ... -28.08 eV/f.u.

=====

Record 13
Crystalline AgOs2PdPt at its relaxed geometry. Source: Alexandria, functional GGA-PBE.

Cell: 4.7504 4.7504 4.8929 Å, 90.00 90.00 90.00°
Fractional coordinates of all 5 atoms:
Ag 0.0000 0.0000 0.0000
Os 0.0000 0.5000 0.5000
Os 0.5000 0.0000 0.5000
Pd 0.5000 0.5000 0.5000
Pt 0.5000 0.5000 0.0000

Properties
N(E_F) ... 1.6806 states/eV/atom
SG ... No. 123
Formation energy from the elements ... 2265.1 meV/atom
Calculated total energy ... -25.22 eV/f.u.

=====

Record 14
Crystalline Re2AgOsPd at its relaxed geometry. Source: Alexandria, functional GGA-PBE.

Cell: 4.6545 4.6545 4.7136 Å, 90.00 90.00 90.00°
Fractional coordinates of all 5 atoms:
Re 0.0000 0.5000 0.0000
Re 0.5000 0.0000 0.0000
Ag 0.0000 0.0000 0.5000
Os 0.5000 0.5000 0.5000
Pd 0.0000 0.0000 0.0000

Properties
N(E_F) ... 1.3904 states/eV/atom
SG ... No. 123
Formation energy from the elements ... 2714.2 meV/atom
Calculated total energy ... -30.60 eV/f.u.

=====

Record 15
Crystalline AgSb2OsPd at its relaxed geometry. Source: Alexandria, functional GGA-PBE.

Cell: 5.1499 5.1499 5.0119 Å, 90.00 90.00 90.00°
Fractional coordinates of all 5 atoms:
Ag 0.0000 0.0000 0.0000
Sb 0.0000 0.5000 0.0000
Sb 0.5000 0.0000 0.0000
Os 0.0000 0.0000 0.5000
Pd 0.5000 0.5000 0.5000

Properties
N(E_F) ... 1.0190 states/eV/atom
ΔE_f (raw) ... 1667 meV per atom
SG ... No. 123
Calculated total energy ... -19.18 eV/f.u.